[1]
First-principles (GGA-PBE) data for a geometry-optimized Tl2SiAgTe4 structure, as listed in the Alexandria database.

Cell and atoms, written as POSCAR:
```
Tl2SiAgTe4
1.0
6.869 0.000 0.000
3.434 6.935 0.000
3.434 0.000 12.383
Tl Si Ag Te
4 2 2 8
direct
0.198 0.000 0.604
0.802 0.000 0.396
0.552 0.500 0.896
0.948 0.500 0.104
0.250 0.500 0.500
0.500 0.000 0.000
0.750 0.500 0.500
0.000 0.000 0.000
0.335 0.784 0.114
0.233 0.216 0.886
0.881 0.784 0.886
0.551 0.216 0.114
0.415 0.716 0.386
0.517 0.284 0.614
0.869 0.716 0.614
0.199 0.284 0.386
```

Computed properties:
- Magnetization: 0.00 μB per cell
- E_form (uncorrected): -0.10 eV/atom
- Volume: 36.9 Å³ per atom
- N(E_F): 0.420 states/eV per atom

=====

[2]
First-principles (GGA-PBE) data for a geometry-optimized PmY2Ag2 structure, as listed in the Alexandria database.

Cell and atoms, written as POSCAR:
```
PmY2Ag2
1.0
4.933 0.000 0.000
0.000 5.292 0.098
0.000 -1.094 10.963
Pm Y Ag
2 4 4
direct
0.250 0.696 0.243
0.750 0.304 0.757
0.250 0.843 0.888
0.750 0.157 0.112
0.250 0.249 0.506
0.750 0.751 0.494
0.250 0.772 0.633
0.750 0.228 0.367
0.250 0.357 0.993
0.750 0.643 0.007
```

Computed properties:
- Offset from the most stable computed form: 0.1127 eV/atom
- Formation energy from the elements: -0.115 eV/atom
- Magnetization: 0.00 μB per cell
- Volume: 28.7 Å³ per atom
- N(E_F): 1.170 states/eV per atom

=====

[3]
First-principles (GGA-PBE) data for a geometry-optimized YPuIrRh structure, as listed in the Alexandria database.

Cell and atoms, written as POSCAR:
```
YPuIrRh
1.0
-2.510 -1.948 3.673
1.989 -3.504 2.711
1.300 0.922 4.588
Y Ir Rh Pu
1 1 1 1
direct
0.250 0.250 0.250
0.000 0.000 0.000
0.500 0.500 0.500
0.750 0.750 0.750
```

Computed properties:
- Formation energy from the elements: -0.607 eV/atom
- Magnetization: 4.67 μB per cell
- Volume: 20.3 Å³ per atom
- N(E_F): 2.138 states/eV per atom

=====

[4]
First-principles (GGA-PBE) data for a geometry-optimized BaC2O5 structure, as listed in the Alexandria database.

Cell and atoms, written as POSCAR:
```
BaC2O5
1.0
-2.764 -1.889 -4.300
-1.101 -5.362 -0.391
-5.381 -0.984 0.437
Ba C O
1 2 5
direct
0.000 0.000 0.000
0.803 0.697 0.697
0.197 0.303 0.303
0.000 0.500 0.500
0.728 0.589 0.955
0.272 0.411 0.045
0.272 0.045 0.411
0.728 0.955 0.589
```

Computed properties:
- Offset from the most stable computed form: 0.0000 eV/atom
- Magnetization: 0.00 μB per cell
- E_form (uncorrected): -1.68 eV/atom
- Volume: 15.3 Å³ per atom
- N(E_F): 0.000 states/eV per atom